Here is Ta2FeMo after structural relaxation from Alexandria via LeMat-Bulk. Energies are from PBE.

- Total magnetic moment: 0.06 μB per atom
- Symmetry: P4/mmm
- Density: 13.6 g/cm3
- Total DFT energy (no corrections): -10.91 eV/atom
- Energy of formation: -0.158 eV per atom

Lattice parameters (Å, degrees): 4.4444 4.4444 3.1696 90.00 90.00 90.00
Closest atoms and distances in Å follow each position.
Atoms (fractional coordinates):
1 Ta 0.0000 0.5000 0.0000  4 Mo 2.73, 4 Fe 2.73
2 Ta 0.5000 0.0000 0.0000  4 Mo 2.73, 4 Fe 2.73
3 Fe 0.0000 0.0000 0.5000  8 Ta 2.73
4 Mo 0.5000 0.5000 0.5000  8 Ta 2.73